Here is crystalline Tb3NdS4 at its relaxed geometry from Alexandria via LeMat-Bulk. Energies are from PBE.

Geometry as extended XYZ:
```
8
Lattice="-3.8339 -0.5294 -4.0595 -3.2575 -2.9742 3.4644 -2.4796 4.7258 1.7255" Properties=species:S:1:pos:R:3 pbc="T T T"
Tb -2.8686 0.8758 2.5950
Tb -3.1568 2.0982 -1.1670
Tb -3.5457 -1.7518 -0.2976
Nd 0.0000 0.0000 0.0000
S -1.9170 -0.2647 -2.0298
S -1.6288 -1.4871 1.7322
S -1.2398 2.3629 0.8628
S -4.7856 0.6111 0.5652
```

Values from the calculation:
* energy relative to the elements, uncorrected: -45.90 kcal/mol of atoms
* size of the total moment: 0.0 μB per formula unit
* ΔE to the lowest computed polymorph: 18.6 meV per atom
* V: 176.45 Å³/cell
* calculated density: 7051 kg/m³
* DOS at the Fermi energy: 4.4 states/eV/cell
* space-group type: Pm-3m (221)

=====

Here is crystalline RbSnTe2 at its relaxed geometry from Alexandria via LeMat-Bulk. Energies are from PBE.

Geometry as extended XYZ:
```
16
Lattice="-5.8680 -6.1805 0.9015 1.8432 -0.9293 5.6267 -6.5414 8.7388 3.5861" Properties=species:S:1:pos:R:3 pbc="T T T"
Rb -1.8556 -0.8662 2.0608
Rb -5.7766 5.5855 7.6028
Rb -4.7896 -3.9564 2.5115
Rb -8.7106 2.4952 8.0535
Sn -7.6825 0.9712 4.2730
Sn -4.7485 4.0614 3.8223
Sn -2.8837 0.6578 5.8414
Sn -5.8178 -2.4324 6.2920
Te -2.9394 -2.4234 5.3506
Te -0.0053 0.6668 4.8999
Te -7.5375 -2.0521 3.7262
Te -10.5609 0.9622 5.2144
Te -3.0288 3.6812 6.3881
Te -5.9628 0.5909 6.8388
Te -7.6269 4.0525 4.7637
Te -4.6034 1.0381 3.2755
```

Values from the calculation:
* energy relative to the elements, uncorrected: -12.16 kcal/mol of atoms
* size of the total moment: 0.0 μB per formula unit
* V: 585.47 Å³/cell
* calculated density: 5212 kg/m³
* DOS at the Fermi energy: 6.6 states/eV/cell
* space-group type: P2_1/m (11)

=====

Here is crystalline MnFeTeN2 at its relaxed geometry from Alexandria via LeMat-Bulk. Energies are from PBE.

Geometry as extended XYZ:
```
5
Lattice="3.6412 0.0000 0.0000 0.0000 3.6412 0.0000 0.0000 0.0000 5.5986" Properties=species:S:1:pos:R:3 pbc="T T T"
Te 0.0000 0.0000 2.7993
Fe 1.8206 1.8206 2.7993
Mn 0.0000 0.0000 0.0000
N 0.0000 1.8206 0.0000
N 1.8206 0.0000 0.0000
```

Values from the calculation:
* energy relative to the elements, uncorrected: 18.80 kcal/mol of atoms
* size of the total moment: 2.9 μB per formula unit
* ΔE to the lowest computed polymorph: 0.0 meV per atom
* V: 74.23 Å³/cell
* calculated density: 5960 kg/m³
* DOS at the Fermi energy: 6.4 states/eV/cell
* space-group type: P4/mmm (123)

=====

Here is crystalline TeOsPb2 at its relaxed geometry from Alexandria via LeMat-Bulk. Energies are from PBE.

Geometry as extended XYZ:
```
4
Lattice="-0.6273 -5.4491 1.5975 0.2323 -3.5683 -4.4555 3.3639 4.2527 1.7991" Properties=species:S:1:pos:R:3 pbc="T T T"
Os 1.2696 -2.8525 0.9838
Pb 0.0000 0.0000 0.0000
Pb -0.1975 -4.5087 -1.4290
Te 1.6994 -1.9122 -2.0427
```

Values from the calculation:
* energy relative to the elements, uncorrected: 19.34 kcal/mol of atoms
* size of the total moment: 0.0 μB per formula unit
* V: 96.84 Å³/cell
* calculated density: 12555 kg/m³
* DOS at the Fermi energy: 3.1 states/eV/cell
* space-group type: I4/mmm (139)

=====

Here is crystalline CrTe2Pd9 at its relaxed geometry from Alexandria via LeMat-Bulk. Energies are from PBE.

Geometry as extended XYZ:
```
12
Lattice="-2.6311 2.2679 -2.0676 0.9962 -1.9448 -3.4009 -8.6454 -8.1104 2.1053" Properties=species:S:1:pos:R:3 pbc="T T T"
Cr 0.0000 0.0000 0.0000
Te -2.7833 -2.6110 0.6778
Te -5.8621 -5.4993 1.4275
Pd -0.8174 0.1616 -2.7343
Pd -3.6990 -2.5417 -2.0325
Pd -6.5812 -5.2455 -1.3307
Pd -2.6832 -0.1491 -0.7007
Pd -5.6382 -2.9212 0.0189
Pd -8.5932 -5.6934 0.7385
Pd -0.8695 -2.2554 -1.3674
Pd -3.8246 -5.0276 -0.6478
Pd -6.7796 -7.7997 0.0718
```

Values from the calculation:
* energy relative to the elements, uncorrected: -3.39 kcal/mol of atoms
* size of the total moment: 3.7 μB per formula unit
* V: 196.74 Å³/cell
* calculated density: 10677 kg/m³
* DOS at the Fermi energy: 11.6 states/eV/cell
* space-group type: P4/mmm (123)

=====

Here is crystalline YTaBrO4 at its relaxed geometry from Alexandria via LeMat-Bulk. Energies are from PBE.

Geometry as extended XYZ:
```
14
Lattice="6.9714 0.9863 -0.3289 3.2398 6.2512 -0.3289 1.7533 1.2427 6.6335" Properties=species:S:1:pos:R:3 pbc="T T T"
Y 4.4499 3.1540 5.3805
Y 7.5147 5.3262 0.5953
Ta 7.6901 5.4505 4.5798
Ta 4.2745 3.0296 1.3959
Br 0.7256 0.5143 2.1812
Br 11.2390 7.9659 3.7946
O 4.1171 2.9181 3.2279
O 7.8475 5.5621 2.7479
O 2.6505 3.6207 0.6162
O 5.7456 4.0723 0.9664
O 7.6703 7.1786 5.3596
O 4.2943 1.3015 0.6162
O 6.2190 4.4079 5.0093
O 9.3141 4.8594 5.3596
```

Values from the calculation:
* energy relative to the elements, uncorrected: -60.54 kcal/mol of atoms
* size of the total moment: 0.0 μB per formula unit
* V: 272.45 Å³/cell
* calculated density: 5044 kg/m³
* space-group type: C2/m (12)

=====

Here is crystalline Ba2Tl2Te at its relaxed geometry from Alexandria via LeMat-Bulk. Energies are from PBE.

Geometry as extended XYZ:
```
10
Lattice="8.7626 0.0000 0.0000 0.0000 8.7626 0.0000 0.0000 0.0000 5.1203" Properties=species:S:1:pos:R:3 pbc="T T T"
Tl 3.2635 7.6448 0.0000
Tl 7.6448 5.4991 0.0000
Tl 5.4991 1.1178 0.0000
Tl 1.1178 3.2635 0.0000
Te 0.0000 0.0000 0.0000
Te 4.3813 4.3813 0.0000
Ba 1.5280 5.9093 2.5601
Ba 5.9093 7.2346 2.5601
Ba 7.2346 2.8533 2.5601
Ba 2.8533 1.5280 2.5601
```

Values from the calculation:
* energy relative to the elements, uncorrected: -13.30 kcal/mol of atoms
* size of the total moment: 0.0 μB per formula unit
* ΔE to the lowest computed polymorph: 0.0 meV per atom
* V: 393.15 Å³/cell
* calculated density: 6851 kg/m³
* DOS at the Fermi energy: 9.1 states/eV/cell
* space-group type: P4/mbm (127)

=====

Here is crystalline MnTl2GeS4 at its relaxed geometry from Alexandria via LeMat-Bulk. Energies are from PBE.

Geometry as extended XYZ:
```
16
Lattice="5.9743 0.0000 0.0000 2.9871 6.4456 0.0000 2.9871 0.0000 11.9260" Properties=species:S:1:pos:R:3 pbc="T T T"
Mn 7.4678 3.2228 5.9630
Mn 0.0000 0.0000 0.0000
Tl 2.9871 0.0000 7.3597
Tl 5.9743 0.0000 4.5662
Tl 7.4678 3.2228 10.5292
Tl 7.4678 3.2228 1.3968
Ge 4.4807 3.2228 5.9630
Ge 2.9871 0.0000 0.0000
S 4.6105 5.1285 1.1993
S 4.6105 1.3172 10.7267
S 10.3252 5.1285 10.7267
S 4.3509 1.3172 1.1993
S 5.8445 4.5400 4.7637
S 5.8445 1.9056 7.1623
S 9.0912 4.5400 7.1623
S 3.1169 1.9056 4.7637
```

Values from the calculation:
* energy relative to the elements, uncorrected: -9.40 kcal/mol of atoms
* size of the total moment: 5.0 μB per formula unit
* V: 459.24 Å³/cell
* calculated density: 4806 kg/m³
* space-group type: Fddd (70)

=====

Here is crystalline TaTl3Au at its relaxed geometry from Alexandria via LeMat-Bulk. Energies are from PBE.

Geometry as extended XYZ:
```
5
Lattice="5.4312 0.0000 0.0000 0.0000 5.4312 0.0000 0.0000 0.0000 5.4312" Properties=species:S:1:pos:R:3 pbc="T T T"
Tl 0.0000 2.7156 0.0000
Tl 0.0000 0.0000 2.7156
Tl 2.7156 0.0000 0.0000
Au 0.0000 0.0000 0.0000
Ta 2.7156 2.7156 2.7156
```

Values from the calculation:
* formation energy from the elements: 1.2409 eV/atom
* size of the total moment: 3.1 μB per formula unit
* ΔE to the lowest computed polymorph: 299.9 meV per atom
* V: 160.21 Å³/cell
* calculated density: 10272 kg/m³
* DOS at the Fermi energy: 8.6 states/eV/cell
* space-group type: Pm-3m (221)

=====

Here is crystalline PuScMnCr at its relaxed geometry from Alexandria via LeMat-Bulk. Energies are from PBE.

Geometry as extended XYZ:
```
4
Lattice="4.5983 0.0000 0.0000 2.2991 3.9822 0.0000 2.2991 1.3274 3.7545" Properties=species:S:1:pos:R:3 pbc="T T T"
Sc 0.0000 0.0000 0.0000
Cr 2.2991 1.3274 0.9386
Mn 6.8974 3.9822 2.8159
Pu 4.5983 2.6548 1.8772
```

Values from the calculation:
* formation energy from the elements: 0.1555 eV/atom
* size of the total moment: 0.7 μB per formula unit
* V: 68.75 Å³/cell
* calculated density: 9562 kg/m³
* DOS at the Fermi energy: 7.3 states/eV/cell
* space-group type: F-43m (216)

=====

Here is crystalline Pm2Ga5Ni2Pd at its relaxed geometry from Alexandria via LeMat-Bulk. Energies are from PBE.

Geometry as extended XYZ:
```
20
Lattice="-1.4071 3.7355 0.8609 -1.8576 -2.7115 8.7291 8.5568 2.6163 2.6336" Properties=species:S:1:pos:R:3 pbc="T T T"
Pm 0.3152 -1.3734 6.4745
Pm 6.3841 1.2783 4.8882
Pm 2.3446 0.3189 2.4487
Pm 4.3546 -0.4140 8.9140
Ga -0.6016 1.4580 2.3751
Ga 5.8937 2.1823 9.8484
Ga 5.9879 3.7924 3.0162
Ga 1.7798 1.1143 7.7585
Ga -0.6958 -0.1521 9.2074
Ga 3.5123 2.5260 4.4651
Ga 4.3012 2.2050 7.1474
Ga 0.9909 1.4353 5.0762
Ga -1.6323 0.5120 4.7950
Ga 3.5748 3.1759 1.7472
Ni 4.9998 1.2979 2.5404
Ni 1.6994 -1.3931 8.8222
Ni 6.5065 0.6868 7.6546
Ni 0.1927 -0.7820 3.7081
Pd 0.0000 0.0000 0.0000
Pd 3.3496 -0.0476 5.6813
```

Values from the calculation:
* formation energy from the elements: -0.5381 eV/atom
* size of the total moment: 0.0 μB per formula unit
* V: 355.26 Å³/cell
* calculated density: 8062 kg/m³
* DOS at the Fermi energy: 12.0 states/eV/cell
* space-group type: P4/mbm (127)

=====

Please write out number 8 again, unchanged.
Here is crystalline MnTl2GeS4 at its relaxed geometry from Alexandria via LeMat-Bulk. Energies are from PBE.

Geometry as extended XYZ:
```
16
Lattice="5.9743 0.0000 0.0000 2.9871 6.4456 0.0000 2.9871 0.0000 11.9260" Properties=species:S:1:pos:R:3 pbc="T T T"
Mn 7.4678 3.2228 5.9630
Mn 0.0000 0.0000 0.0000
Tl 2.9871 0.0000 7.3597
Tl 5.9743 0.0000 4.5662
Tl 7.4678 3.2228 10.5292
Tl 7.4678 3.2228 1.3968
Ge 4.4807 3.2228 5.9630
Ge 2.9871 0.0000 0.0000
S 4.6105 5.1285 1.1993
S 4.6105 1.3172 10.7267
S 10.3252 5.1285 10.7267
S 4.3509 1.3172 1.1993
S 5.8445 4.5400 4.7637
S 5.8445 1.9056 7.1623
S 9.0912 4.5400 7.1623
S 3.1169 1.9056 4.7637
```

Values from the calculation:
* energy relative to the elements, uncorrected: -9.40 kcal/mol of atoms
* size of the total moment: 5.0 μB per formula unit
* V: 459.24 Å³/cell
* calculated density: 4806 kg/m³
* space-group type: Fddd (70)